Record 1
AlCdO3: relaxed, PBE.

Uncorrected energy = -5.595 eV per atom
SG = R-3c (167)

```
10
Lattice="2.6220 1.5138 4.2322 -2.6220 1.5138 4.2322 0.0000 -3.0276 4.2322" Properties=species:S:1:pos:R:3 pbc="T T T"
Al 0.0000 0.0000 0.0000
Al 0.0000 0.0000 6.3483
Cd 0.0000 0.0000 3.1742
Cd 0.0000 0.0000 9.5225
O -1.5083 0.4151 5.2903
O -1.1137 -1.0987 7.4064
O 0.3947 -1.5138 5.2903
O -0.3947 1.5138 7.4064
O 1.1137 1.0987 5.2903
O 1.5083 -0.4151 7.4064
```

***

Record 2
ZnSi17Ge13P: relaxed, PBE.

Uncorrected energy = -4.944 eV per atom
SG = Pm (6)

```
32
Lattice="5.5800 0.0000 0.0000 0.0000 3.9432 0.0000 -0.0471 0.0000 31.4177" Properties=species:S:1:pos:R:3 pbc="T T T"
Zn 0.0000 0.0000 0.0000
Si 1.2237 1.9716 19.7130
Si 1.2526 1.9716 3.9275
Si 1.2873 1.9716 11.8534
Si 2.6654 1.9716 5.8381
Si 2.6633 1.9716 21.5882
Si 2.6491 1.9716 29.5941
Si 2.6807 1.9716 13.7525
Si 4.0037 0.0000 5.9049
Si 3.9732 0.0000 29.5522
Si 4.0127 0.0000 13.7929
Si 4.0100 0.0000 21.5994
Si 4.0523 0.0000 25.4882
Si 4.0923 0.0000 1.9019
Si 5.4041 0.0000 7.8050
Si 5.3834 0.0000 23.5333
Si 5.4020 0.0000 15.6986
Si 5.4589 0.0000 19.7190
Ge 1.2218 1.9716 7.7929
Ge 1.2198 1.9716 15.6813
Ge 1.2106 1.9716 23.5282
Ge 1.2340 1.9716 27.6036
Ge 2.6170 1.9716 9.8421
Ge 2.6085 1.9716 17.7313
Ge 2.6875 1.9716 1.9498
Ge 2.6485 1.9716 25.5581
Ge 4.0804 0.0000 9.8201
Ge 4.0822 0.0000 17.7231
Ge 5.3263 0.0000 27.5515
Ge 5.4207 0.0000 3.9301
Ge 5.4745 0.0000 11.8641
P 1.2714 1.9716 31.4118
```

***

Record 3
Pu2Be: relaxed, PBE.

Uncorrected energy = -8.710 eV per atom
SG = Fd-3m (227)
Size of the total moment = 13.180 μB/f.u.

```
6
Lattice="0.0000 5.8910 5.8910 5.8910 0.0000 5.8910 5.8910 5.8910 0.0000" Properties=species:S:1:pos:R:3 pbc="T T T"
Pu 0.0000 0.0000 0.0000
Pu 2.9455 2.9455 0.0000
Pu 2.9455 0.0000 2.9455
Pu 0.0000 2.9455 2.9455
Be 1.4727 1.4727 1.4727
Be 10.3092 10.3092 10.3092
```

***

Record 4
NaTbNiTe3: relaxed, PBE.

Uncorrected energy = -4.312 eV per atom
SG = Pnma (62)
Size of the total moment = 0.017 μB/f.u.

```
24
Lattice="10.8093 0.0000 0.0000 0.0000 4.1678 0.0000 0.0000 0.0000 15.1904" Properties=species:S:1:pos:R:3 pbc="T T T"
Na 2.4936 1.0419 0.0111
Na 2.9110 3.1258 7.6063
Na 7.8983 1.0419 7.5841
Na 8.3156 3.1258 15.1793
Tb 0.1476 3.1258 11.3648
Tb 5.2570 1.0419 3.7695
Tb 5.5523 3.1258 11.4209
Tb 10.6617 1.0419 3.8257
Ni 2.5716 3.1258 3.6219
Ni 2.8330 1.0419 11.2171
Ni 7.9763 3.1258 3.9733
Ni 8.2376 1.0419 11.5685
Te 0.8026 3.1258 1.7874
Te 1.1063 1.0419 9.3403
Te 2.5658 1.0419 5.1807
Te 2.8388 3.1258 12.7760
Te 4.2983 3.1258 1.7451
Te 4.6020 1.0419 9.3827
Te 6.2073 3.1258 5.8078
Te 6.5110 1.0419 13.4454
Te 7.9705 1.0419 2.4145
Te 8.2434 3.1258 10.0097
Te 9.7030 3.1258 5.8502
Te 10.0066 1.0419 13.4030
```

***

Record 5
SmY: relaxed, PBE.

Uncorrected energy = -3.732 eV per atom
ΔE_f = 179.1 kJ per mole of atoms
SG = F-43m (216)
Size of the total moment = 0.006 μB/f.u.

```
2
Lattice="0.0000 3.4787 3.4787 3.4787 0.0000 3.4787 3.4787 3.4787 0.0000" Properties=species:S:1:pos:R:3 pbc="T T T"
Sm 0.0000 0.0000 0.0000
Y 5.2180 5.2180 5.2180
```

***

Record 6
NiBi2Au: relaxed, PBE.

Uncorrected energy = -3.824 eV per atom
SG = F-43m (216)
Size of the total moment = 0.000 μB/f.u.

```
4
Lattice="0.0000 3.5841 3.5841 3.5841 0.0000 3.5841 3.5841 3.5841 0.0000" Properties=species:S:1:pos:R:3 pbc="T T T"
Ni 0.0000 0.0000 0.0000
Bi 1.7921 1.7921 1.7921
Bi 3.5841 3.5841 3.5841
Au 5.3762 5.3762 5.3762
```